The following is a DFT calculation (PBE) of a geometry-optimized PmNdY2 structure.

Cell lengths 3.6227, 3.6227, 10.2110 Å; angles 90.00, 90.00, 90.00 degrees
Fractional coordinates of all 4 atoms:
Y (0.0000, 0.0000, 0.7490)
Y (0.0000, 0.0000, 0.2510)
Nd (0.5000, 0.5000, 0.0000)
Pm (0.5000, 0.5000, 0.5000)

## Properties
The density of states at the Fermi level comes out at 1.514 states/eV per atom. Its space-group type is No. 123. The calculation puts the total energy at -5.594 eV per atom. Its formation energy is 18 meV per atom. Its magnetic moment is 0.00 μB per formula unit.